Here is a geometry-optimized La5TbPr7 structure from the Alexandria database. Energies are from PBE.

**Calculated formation energy**: 0.0907 eV per atom

Lattice parameters (Å, degrees): 5.835 9.366 9.366 84.09 71.95 71.95
Fractional coordinates of all 13 atoms:
Pr 0.401 0.628 0.628
La 0.933 0.403 0.001
Pr 0.653 0.373 0.373
Pr 0.569 0.201 0.798
Pr 0.368 0.202 0.202
La 0.338 0.001 0.594
Pr 0.569 0.798 0.201
La 0.772 0.798 0.798
La 0.933 0.001 0.403
Tb 0.075 0.000 0.000
Pr 0.026 0.371 0.629
La 0.338 0.594 0.001
Pr 0.026 0.629 0.371



Here is a geometry-optimized Sr7CaMg4 structure from the Alexandria database. Energies are from PBE.

**Calculated formation energy**: 0.1018 eV per atom

Lattice parameters (Å, degrees): 6.545 10.341 8.799 74.31 68.17 71.55
Fractional coordinates of all 12 atoms:
Sr 0.785 0.887 0.543
Mg 0.678 0.664 0.979
Ca 0.000 0.000 0.000
Mg 0.458 0.748 0.335
Sr 0.711 0.337 0.240
Sr 0.071 0.606 0.252
Mg 0.542 0.252 0.665
Sr 0.500 0.000 0.000
Sr 0.289 0.663 0.760
Sr 0.215 0.113 0.457
Mg 0.322 0.336 0.021
Sr 0.929 0.394 0.748



Here is a geometry-optimized Pm8Ge3RhI4 structure from the Alexandria database. Energies are from PBE.

**Energy relative to the elements, uncorrected**: -0.964 eV per atom

Lattice parameters (Å, degrees): 8.649 9.132 8.649 118.28 120.00 90.00
Fractional coordinates of all 16 atoms:
Pm 0.258 0.307 0.032
Pm 0.266 0.299 0.533
I 0.000 0.000 0.000
Ge 0.500 0.500 0.500
Pm 0.226 0.693 0.451
Ge 0.000 0.500 0.500
I 0.500 0.000 0.000
Pm 0.774 0.307 0.549
Pm 0.734 0.701 0.467
Pm 0.226 0.693 0.968
Pm 0.774 0.307 0.032
I 0.000 0.000 0.500
Pm 0.742 0.693 0.968
Ge 0.500 0.500 0.000
Rh 0.000 0.500 0.000
I 0.500 0.000 0.500



Here is a geometry-optimized LiThZrMo structure from the Alexandria database. Energies are from PBE.

**Calculated formation energy**: 0.0933 eV per atom

Lattice parameters (Å, degrees): 4.922 4.922 4.922 60.00 60.00 60.00
Fractional coordinates of all 4 atoms:
Li 0.000 0.000 0.000
Zr 0.250 0.250 0.250
Mo 0.500 0.500 0.500
Th 0.750 0.750 0.750